1.
An optimized crystal structure of WSI2Br, computed with GGA-PBE.

a b c (Å): 5.560 5.560 4.573
angles (deg): 90.00 90.00 90.00
Space group P4/mmm (No. 123)
Symmetry-distinct sites (fractional):
W 0.000 0.000 0.000
S 0.000 0.000 0.500
I 0.000 0.500 0.000
Br 0.500 0.500 0.500

Calculated values
For the formation energy from raw total energies, the calculation gives 0.255 eV per atom. Its relative energy among the computed polymorphs is 0.0 meV/atom. The final energy is -20.58 eV for the cell shown.

2.
An optimized crystal structure of SbIBr2, computed with GGA-PBE.

a b c (Å): 3.4874 3.4874 41.2975
angles (deg): 90.00 90.00 120.00
Space group R-3m (No. 166, hexagonal axes)
Symmetry-distinct sites (fractional):
Sb 0.0000 0.0000 0.0000
I 0.0000 0.0000 0.5000
Br 0.0000 0.0000 0.0645

Calculated values
For the formation energy from raw total energies, the calculation gives 0.046 eV per atom. Its relative energy among the computed polymorphs is 558.7 meV/atom. The final energy is -26.50 eV for the cell shown.

no.,total magnetization (μB per cell)
1,0.28
2,0.00